(1)
A relaxed PmTmPt4 crystal, computed with PBE-GGA.

Properties
Formation energy, eV per atom: -1.103
Space group: F-43m (216)
N(E_F), states/eV/atom: 0.316
Crystal system: cubic

Cell: 5.4534 5.4534 5.4534 Å, 60.00 60.00 60.00°
Positions (direct):
Pt1 0.6254 0.6254 0.6254
Pt2 0.6254 0.1238 0.6254
Pt3 0.1238 0.6254 0.6254
Pt4 0.6254 0.6254 0.1238
Pm1 0.2500 0.2500 0.2500
Tm1 0.0000 0.0000 0.0000



(2)
A relaxed NaDyIn2I6 crystal, computed with PBE-GGA.

Properties
Space group: R3 (146)
N(E_F), states/eV/atom: 0.000
Crystal system: trigonal
Energy relative to the elements, uncorrected, kJ/mol of atoms: -94.76

Cell: 8.4403 8.4403 8.6795 Å, 60.90 60.90 59.99°
Positions (direct):
I1 0.9829 0.5728 0.2589
I2 0.5728 0.1854 0.2589
I3 0.1854 0.9829 0.2589
I4 0.4527 0.6758 0.7675
I5 0.6758 0.1040 0.7676
I6 0.1040 0.4527 0.7676
Na1 0.8186 0.8186 0.5442
In1 0.0192 0.0192 0.9424
In2 0.5258 0.5257 0.4227
Dy1 0.3245 0.3245 0.0265



(3)
A relaxed CeYTm crystal, computed with PBE-GGA.

Properties
Formation energy, eV per atom: 0.248
Space group: P4/nmm (129)
Polymorph energy (0 for the lowest one), meV/atom: 181.4
N(E_F), states/eV/atom: 1.620
Crystal system: tetragonal

Cell: 4.6419 4.6419 8.6316 Å, 90.00 90.00 90.00°
Positions (direct):
Tm1 0.5000 0.0000 0.7332
Tm2 0.0000 0.5000 0.2668
Y1 0.0000 0.5000 0.6612
Y2 0.5000 0.0000 0.3388
Ce1 0.5000 0.5000 0.0000
Ce2 0.0000 0.0000 0.0000



(4)
A relaxed RbCrAsCl6 crystal, computed with PBE-GGA.

Properties
Space group: P1 (1)
Crystal system: triclinic
Energy relative to the elements, uncorrected, kJ/mol of atoms: -102.00

Cell: 6.6439 6.8625 7.2416 Å, 93.47 91.83 58.96°
Positions (direct):
Cl1 0.6164 0.0339 0.2893
Cl2 0.3784 0.6273 0.3264
Cl3 0.3791 0.9938 0.6739
Cl4 0.9729 0.6296 0.7076
Cl5 0.6189 0.3480 0.7094
Cl6 0.9720 0.3985 0.2926
As1 0.3522 0.3237 0.4998
Rb1 0.0341 0.9832 0.0004
Cr1 0.6757 0.6620 0.5004



| no. | magnetization (μB/f.u.) | calculated total energy (eV/cell) |
| --- | --- | --- |
| 1 | 0.00 | -40.0 |
| 2 | 0.00 | -30.5 |
| 3 | 0.00 | -32.3 |
| 4 | 4.00 | -35.8 |